A plane-wave DFT calculation with PBE was carried out for a geometry-optimized Y2SbPb structure.

a = 4.373 Å, b = 4.481 Å, c = 6.246 Å
α = 90.00°, β = 91.34°, γ = 90.00°
Positions (direct):
1 Y 0.000 0.000 0.000
2 Y 0.500 0.500 0.500
3 Sb 0.000 0.000 0.500
4 Pb 0.500 0.500 0.000

Crystal system: monoclinic
DOS at the Fermi energy, states/eV/f.u.: 2.68
Calculated volume, A^3/atom: 30.6
Formation energy from raw total energies, meV/atom: -752